*1*
First-principles (GGA-PBE) data for a geometry-optimized Tb8RuRh2 structure, as listed in the Alexandria database.

Calculated values
ρ, g/cm³: 9.3
Size of the total moment, μB/cell: 0.0

Cell lengths 8.9922, 8.9922, 6.7959 Å; angles 105.71, 105.71, 32.17 degrees
Last column: nearest neighbours and their distance in Å.
Element x y z (fractional)
Tb: 0.0324 0.0324 0.2918  1 Rh 2.93, 2 Ru 3.00
Tb: 0.2016 0.2016 0.8146  1 Rh 2.74
Tb: 0.3330 0.3330 0.5330  3 Rh 2.81-3.14, 1 Ru 2.96
Tb: 0.4075 0.4075 0.0554  1 Ru 2.99, 2 Rh 3.25
Tb: 0.5925 0.5925 0.9446  1 Ru 2.99, 2 Rh 3.25
Tb: 0.6670 0.6670 0.4670  3 Rh 2.81-3.14, 1 Ru 2.96
Tb: 0.7984 0.7984 0.1854  1 Rh 2.74
Tb: 0.9676 0.9676 0.7082  1 Rh 2.93, 2 Ru 3.00
Ru: 0.5000 0.5000 0.5000  8 Tb 2.96-3.00
Rh: 0.1900 0.1900 0.2082  3 Tb 2.74-2.93
Rh: 0.8100 0.8100 0.7918  3 Tb 2.74-2.93

*2*
First-principles (GGA-PBE) data for a geometry-optimized Tb8RuRh2 structure, as listed in the Alexandria database.

Calculated values
ρ, g/cm³: 8.9
Size of the total moment, μB/cell: 0.0

Cell lengths 7.5742, 7.5742, 5.9912 Å; angles 100.77, 100.77, 114.33 degrees
Last column: nearest neighbours and their distance in Å.
Element x y z (fractional)
Tb: 0.0000 0.0000 0.0000  1 Ru 2.84, 2 Rh 3.08
Tb: 0.0196 0.2746 0.5901  2 Rh 2.77-2.80
Tb: 0.1503 0.5706 0.1817  1 Ru 2.78
Tb: 0.2746 0.0196 0.5901  2 Rh 2.77-2.80
Tb: 0.4383 0.6931 0.7873  2 Rh 2.77-2.83
Tb: 0.5706 0.1503 0.1817  1 Ru 2.78
Tb: 0.6931 0.4383 0.7873  2 Rh 2.77-2.83
Tb: 0.7128 0.7128 0.3583  1 Ru 2.87, 2 Rh 3.07
Ru: 0.3568 0.3568 0.0522  4 Tb 2.78-2.87
Rh: 0.0446 0.6614 0.6798  6 Tb 2.77-3.08
Rh: 0.6614 0.0446 0.6798  6 Tb 2.77-3.08

It turns out *1* is the most stable, with the second structure 0.057 eV/atom higher.

*1*
First-principles (GGA-PBE) data for a geometry-optimized Tb3RuRh structure, as listed in the Alexandria database.

Calculated values
ρ, g/cm³: 8.8
Size of the total moment, μB/cell: 0.0

Cell lengths 6.8207, 6.8259, 7.4652 Å; angles 62.82, 62.88, 60.11 degrees
Last column: nearest neighbours and their distance in Å.
Element x y z (fractional)
Tb: 0.0954 0.4046 0.2461  2 Ru 2.77-2.78, 2 Rh 2.81
Tb: 0.2468 0.9045 0.7524  2 Ru 2.78, 2 Rh 2.81
Tb: 0.4042 0.7545 0.2460  2 Ru 2.77-2.78, 2 Rh 2.81-2.82
Tb: 0.5958 0.2455 0.7540  2 Ru 2.77-2.78, 2 Rh 2.81-2.82
Tb: 0.7532 0.0955 0.2476  2 Ru 2.78, 2 Rh 2.81
Tb: 0.9046 0.5954 0.7539  2 Ru 2.77-2.78, 2 Rh 2.81
Ru: 0.1713 0.1716 0.9839  6 Tb 2.77-2.78, 1 Rh 2.99
Ru: 0.8287 0.8284 0.0161  6 Tb 2.77-2.78, 1 Rh 2.99
Rh: 0.3287 0.3293 0.5132  6 Tb 2.81-2.82, 1 Ru 2.99
Rh: 0.6713 0.6707 0.4868  6 Tb 2.81-2.82, 1 Ru 2.99

*2*
First-principles (GGA-PBE) data for a geometry-optimized Tb3RuRh structure, as listed in the Alexandria database.

Calculated values
ρ, g/cm³: 9.5
Size of the total moment, μB/cell: 0.0

Cell lengths 8.4926, 7.3875, 7.8315 Å; angles 90.00, 105.06, 90.00 degrees
Last column: nearest neighbours and their distance in Å.
Element x y z (fractional)
Tb: 0.0510 0.9997 0.2142  4 Ru 2.76-3.08, 1 Rh 3.03
Tb: 0.0510 0.5003 0.7142  4 Ru 2.76-3.08, 1 Rh 3.03
Tb: 0.2826 0.1504 0.5996  3 Rh 2.80-2.99, 2 Ru 2.97-2.99
Tb: 0.2826 0.3496 0.0996  3 Rh 2.80-2.99, 2 Ru 2.97-2.99
Tb: 0.3586 0.6915 0.4719  1 Ru 2.74, 3 Rh 2.98-3.05
Tb: 0.3586 0.8085 0.9719  1 Ru 2.74, 3 Rh 2.98-3.05
Tb: 0.6414 0.1915 0.0281  1 Ru 2.74, 3 Rh 2.98-3.05
Tb: 0.6414 0.3085 0.5281  1 Ru 2.74, 3 Rh 2.98-3.05
Tb: 0.7174 0.6504 0.9004  3 Rh 2.80-2.99, 2 Ru 2.97-2.99
Tb: 0.7174 0.8496 0.4004  3 Rh 2.80-2.99, 2 Ru 2.97-2.99
Tb: 0.9490 0.0003 0.7858  4 Ru 2.76-3.08, 1 Rh 3.03
Tb: 0.9490 0.4997 0.2858  4 Ru 2.76-3.08, 1 Rh 3.03
Ru: 0.0766 0.6828 0.0377  6 Tb 2.74-2.99, 1 Ru 2.99
Ru: 0.0766 0.8172 0.5377  6 Tb 2.74-2.99, 1 Ru 2.99
Ru: 0.9234 0.1828 0.4623  6 Tb 2.74-2.99, 1 Ru 2.99
Ru: 0.9234 0.3172 0.9623  6 Tb 2.74-2.99, 1 Ru 2.99
Rh: 0.4175 0.0448 0.2968  7 Tb 2.80-3.05
Rh: 0.4175 0.4552 0.7968  7 Tb 2.80-3.05
Rh: 0.5825 0.5448 0.2032  7 Tb 2.80-3.05
Rh: 0.5825 0.9552 0.7032  7 Tb 2.80-3.05

It turns out *2* is the most stable, with the second structure 0.062 eV/atom higher.

*1*
First-principles (GGA-PBE) data for a geometry-optimized TcRuRh structure, as listed in the Alexandria database.

Calculated values
ρ, g/cm³: 11.7
Size of the total moment, μB/cell: 0.0

Cell lengths 2.7223, 2.7223, 6.6611 Å; angles 90.00, 90.00, 120.00 degrees
Last column: nearest neighbours and their distance in Å.
Element x y z (fractional)
Tc: 0.0000 0.0000 0.0000  3 Ru 2.64, 6 Tc 2.72, 3 Rh 2.74
Ru: 0.3333 0.6667 0.6817  3 Tc 2.64, 6 Ru 2.72, 3 Rh 2.78
Rh: 0.6667 0.3333 0.3374  6 Rh 2.72, 3 Tc 2.74, 3 Ru 2.78

*2*
First-principles (GGA-PBE) data for a geometry-optimized TcRuRh structure, as listed in the Alexandria database.

Calculated values
ρ, g/cm³: 11.5
Size of the total moment, μB/cell: 0.0

Cell lengths 4.2934, 4.2934, 2.7328 Å; angles 90.00, 90.00, 120.00 degrees
Last column: nearest neighbours and their distance in Å.
Element x y z (fractional)
Tc: 0.0000 0.0000 0.0000  3 Ru 2.48, 2 Tc 2.73
Ru: 0.6667 0.3333 0.0000  3 Tc 2.48, 2 Ru 2.73
Rh: 0.3333 0.6667 0.5000  2 Rh 2.73, 6 Tc 2.83, 6 Ru 2.83

It turns out *1* is the most stable, with the second structure 0.141 eV/atom higher.

*1*
First-principles (GGA-PBE) data for a geometry-optimized TcRuRh structure, as listed in the Alexandria database.

Calculated values
ρ, g/cm³: 10.0
Size of the total moment, μB/cell: 0.0

Cell lengths 4.1432, 4.1432, 4.1432 Å; angles 60.00, 60.00, 60.00 degrees
Last column: nearest neighbours and their distance in Å.
Element x y z (fractional)
Tc: 0.0000 0.0000 0.0000  4 Ru 2.54, 4 Rh 2.54
Ru: 0.7500 0.7500 0.7500  4 Tc 2.54
Rh: 0.2500 0.2500 0.2500  4 Tc 2.54

*2*
First-principles (GGA-PBE) data for a geometry-optimized TcRuRh structure, as listed in the Alexandria database.

Calculated values
ρ, g/cm³: 11.8
Size of the total moment, μB/cell: 0.0

Cell lengths 4.7066, 4.7066, 4.7066 Å; angles 146.67, 131.37, 60.23 degrees
Last column: nearest neighbours and their distance in Å.
Element x y z (fractional)
Tc: 0.0000 0.0000 0.0000  5 Rh 2.69-2.74, 2 Tc 2.70, 5 Ru 2.70-2.76
Ru: 0.3388 0.3388 0.0000  5 Rh 2.70-2.73, 2 Ru 2.70, 5 Tc 2.70-2.76
Rh: 0.6698 0.6698 0.0000  5 Tc 2.69-2.74, 5 Ru 2.70-2.73, 2 Rh 2.70

*3*
First-principles (GGA-PBE) data for a geometry-optimized TcRuRh structure, as listed in the Alexandria database.

Calculated values
ρ, g/cm³: 11.8
Size of the total moment, μB/cell: 0.0

Cell lengths 4.7449, 4.3273, 4.7587 Å; angles 90.00, 119.90, 90.00 degrees
Last column: nearest neighbours and their distance in Å.
Element x y z (fractional)
Tc: 0.1634 0.2500 0.1684  5 Ru 2.67-2.76, 2 Tc 2.68, 5 Rh 2.70-2.76
Tc: 0.8366 0.7500 0.8316  5 Ru 2.67-2.76, 2 Tc 2.68, 5 Rh 2.70-2.76
Ru: 0.1652 0.7500 0.4983  5 Tc 2.67-2.76, 2 Ru 2.68, 5 Rh 2.68-2.76
Ru: 0.8348 0.2500 0.5017  5 Tc 2.67-2.76, 2 Ru 2.68, 5 Rh 2.68-2.76
Rh: 0.4974 0.2500 0.8322  2 Rh 2.68, 5 Ru 2.68-2.76, 5 Tc 2.70-2.76
Rh: 0.5026 0.7500 0.1678  2 Rh 2.68, 5 Ru 2.68-2.76, 5 Tc 2.70-2.76

It turns out *3* is the most stable, with the second structure 0.113 eV/atom higher.

*1*
First-principles (GGA-PBE) data for a geometry-optimized TcRuRh structure, as listed in the Alexandria database.

Calculated values
ρ, g/cm³: 11.5
Size of the total moment, μB/cell: 0.0

Cell lengths 4.7348, 4.7348, 4.7348 Å; angles 139.89, 139.89, 58.02 degrees
Last column: nearest neighbours and their distance in Å.
Element x y z (fractional)
Tc: 0.0000 0.0000 0.0000  5 Ru 2.64-2.83, 5 Rh 2.69-2.74
Ru: 0.6582 0.6582 0.0000  5 Tc 2.64-2.83, 5 Rh 2.70-2.71
Rh: 0.3308 0.3308 0.0000  5 Tc 2.69-2.74, 5 Ru 2.70-2.71

*2*
First-principles (GGA-PBE) data for a geometry-optimized TcRuRh structure, as listed in the Alexandria database.

Calculated values
ρ, g/cm³: 11.8
Size of the total moment, μB/cell: 0.0

Cell lengths 4.3278, 4.7502, 4.7502 Å; angles 60.18, 90.00, 90.00 degrees
Last column: nearest neighbours and their distance in Å.
Element x y z (fractional)
Tc: 0.2500 0.1648 0.8352  2 Tc 2.67, 5 Ru 2.68-2.76, 5 Rh 2.69-2.76
Tc: 0.7500 0.8352 0.1648  2 Tc 2.67, 5 Ru 2.68-2.76, 5 Rh 2.69-2.76
Ru: 0.2500 0.8281 0.5013  2 Ru 2.67, 5 Tc 2.68-2.76, 5 Rh 2.68-2.76
Ru: 0.7500 0.5013 0.8281  2 Ru 2.67, 5 Tc 2.68-2.76, 5 Rh 2.68-2.76
Rh: 0.2500 0.4972 0.1645  2 Rh 2.68, 5 Ru 2.68-2.76, 5 Tc 2.69-2.76
Rh: 0.7500 0.1645 0.4972  2 Rh 2.68, 5 Ru 2.68-2.76, 5 Tc 2.69-2.76

*3*
First-principles (GGA-PBE) data for a geometry-optimized TcRuRh structure, as listed in the Alexandria database.

Calculated values
ρ, g/cm³: 11.8
Size of the total moment, μB/cell: 0.0

Cell lengths 5.4329, 3.8433, 8.1638 Å; angles 90.00, 90.00, 90.00 degrees
Last column: nearest neighbours and their distance in Å.
Element x y z (fractional)
Tc: 0.1167 0.2500 0.0821  5 Ru 2.66-2.78, 2 Tc 2.66, 5 Rh 2.67-2.76
Tc: 0.3833 0.7500 0.5821  5 Ru 2.66-2.78, 2 Tc 2.66, 5 Rh 2.67-2.76
Tc: 0.6167 0.2500 0.4179  5 Ru 2.66-2.78, 2 Tc 2.66, 5 Rh 2.67-2.76
Tc: 0.8833 0.7500 0.9179  5 Ru 2.66-2.78, 2 Tc 2.66, 5 Rh 2.67-2.76
Ru: 0.1217 0.2500 0.7566  5 Tc 2.66-2.78, 5 Rh 2.69-2.79, 2 Ru 2.72
Ru: 0.3783 0.7500 0.2566  5 Tc 2.66-2.78, 5 Rh 2.69-2.79, 2 Ru 2.72
Ru: 0.6217 0.2500 0.7434  5 Tc 2.66-2.78, 5 Rh 2.69-2.79, 2 Ru 2.72
Ru: 0.8783 0.7500 0.2434  5 Tc 2.66-2.78, 5 Rh 2.69-2.79, 2 Ru 2.72
Rh: 0.1256 0.2500 0.4145  5 Tc 2.67-2.76, 5 Ru 2.69-2.79, 2 Rh 2.74
Rh: 0.3744 0.7500 0.9145  5 Tc 2.67-2.76, 5 Ru 2.69-2.79, 2 Rh 2.74
Rh: 0.6256 0.2500 0.0855  5 Tc 2.67-2.76, 5 Ru 2.69-2.79, 2 Rh 2.74
Rh: 0.8744 0.7500 0.5855  5 Tc 2.67-2.76, 5 Ru 2.69-2.79, 2 Rh 2.74

*4*
First-principles (GGA-PBE) data for a geometry-optimized TcRuRh structure, as listed in the Alexandria database.

Calculated values
ρ, g/cm³: 11.7
Size of the total moment, μB/cell: 0.0

Cell lengths 6.0212, 6.0212, 6.0212 Å; angles 153.71, 153.71, 37.52 degrees
Last column: nearest neighbours and their distance in Å.
Element x y z (fractional)
Tc: 0.0000 0.0000 0.0000  4 Ru 2.64, 4 Rh 2.72, 4 Tc 2.74
Ru: 0.3430 0.3430 0.0000  4 Tc 2.64, 4 Ru 2.74, 4 Rh 2.78
Rh: 0.6675 0.6675 0.0000  4 Tc 2.72, 4 Rh 2.74, 4 Ru 2.78

It turns out *2* is the most stable, with the second structure 0.089 eV/atom higher.